Record 1
A plane-wave DFT calculation with GGA-PBE was carried out for HoMg2Ni9 after structural relaxation.

a = 8.342 Å, b = 8.342 Å, c = 8.342 Å
α = 33.58°, β = 33.58°, γ = 33.58°
Fractional coordinates of all 12 atoms:
Ho  0.000  0.000  0.000
Mg  0.144  0.144  0.144
Mg  0.856  0.856  0.856
Ni  0.082  0.586  0.586
Ni  0.334  0.334  0.334
Ni  0.414  0.414  0.918
Ni  0.414  0.918  0.414
Ni  0.500  0.500  0.500
Ni  0.586  0.082  0.586
Ni  0.586  0.586  0.082
Ni  0.666  0.666  0.666
Ni  0.918  0.414  0.414

Summary:
As for the symmetry: R-3m. Its magnetization is 2.01 μB per cell.

=====

Record 2
A plane-wave DFT calculation with GGA-PBE was carried out for Ho2Mg2O5 after structural relaxation.

a = 4.028 Å, b = 4.028 Å, c = 8.219 Å
α = 90.00°, β = 90.00°, γ = 90.00°
Fractional coordinates of all 9 atoms:
Ho  0.000  0.000  0.235
Ho  0.000  0.000  0.765
Mg  0.500  0.500  0.000
Mg  0.500  0.500  0.500
O  0.000  0.000  0.500
O  0.000  0.500  0.156
O  0.000  0.500  0.844
O  0.500  0.000  0.156
O  0.500  0.000  0.844

Summary:
As for the symmetry: P4/mmm. Its magnetization is 0.00 μB per cell.

=====

Record 3
A plane-wave DFT calculation with GGA-PBE was carried out for HoMgPO after structural relaxation.

a = 3.985 Å, b = 3.985 Å, c = 8.703 Å
α = 90.00°, β = 90.00°, γ = 90.00°
Fractional coordinates of all 8 atoms:
Ho  0.250  0.250  0.119
Ho  0.750  0.750  0.881
Mg  0.250  0.750  0.500
Mg  0.750  0.250  0.500
P  0.250  0.250  0.682
P  0.750  0.750  0.318
O  0.250  0.750  0.000
O  0.750  0.250  0.000

Summary:
As for the symmetry: P4/nmm. Its magnetization is 0.00 μB per cell.

=====

The VASP energy results, record by record, are as follows: -5.104 -6.466 -6.095 eV/atom.